#1
VTcI | the Alexandria database | PBE | optimized geometry; density of states at the Fermi level = 0.467 states/eV per atom; space group = P1
1.0
3.6315 0.0000 0.0000
-1.0284 4.3061 0.0000
-1.6866 -0.6002 9.6695
V Tc I
2 2 2
Cartesian
0.0000 0.0000 0.0000 V
-1.0974 1.7235 8.9133 V
0.4770 -0.1894 8.0013 Tc
1.0084 2.1971 7.2744 Tc
-0.3131 2.1124 1.8140 I
1.6628 0.1294 5.3953 I

#2
VTcI | the Alexandria database | PBE | optimized geometry; density of states at the Fermi level = 0.476 states/eV per atom; space group = Pbcm
1.0
11.1538 0.0000 0.0000
0.0000 6.1312 0.0000
0.0000 0.0000 4.2834
V Tc I
4 4 4
Cartesian
1.9546 0.8364 1.0709 V
1.9546 2.2292 3.2126 V
9.1992 3.9020 1.0709 V
9.1992 5.2947 3.2126 V
0.0698 0.8615 3.2126 Tc
0.0698 2.2041 1.0709 Tc
11.0841 3.9271 3.2126 Tc
11.0841 5.2697 1.0709 Tc
3.6663 0.0194 3.2126 I
3.6663 3.0461 1.0709 I
7.4875 3.0850 3.2126 I
7.4875 6.1117 1.0709 I

In kJ/mol of atoms, relative to the most stable structure: #1 0.0; #2 1.9.

#1
VTcI2 | the Alexandria database | PBE | optimized geometry; density of states at the Fermi level = 1.064 states/eV per atom; space group = I-42d
1.0
-3.0403 3.0403 6.2345
3.0403 -3.0403 6.2345
3.0403 3.0403 -6.2345
V Tc I
2 2 4
Cartesian
0.0000 0.0000 0.0000 V
0.0000 3.0403 3.1172 V
3.0403 0.0000 3.1172 Tc
0.0000 0.0000 6.2345 Tc
1.5202 -1.4847 4.6758 I
1.5557 1.5202 1.5586 I
1.5202 4.5250 -1.5586 I
1.4847 1.5202 7.7931 I

#2
VTcI2 | the Alexandria database | PBE | optimized geometry; density of states at the Fermi level = 1.056 states/eV per atom; space group = Fm-3m
1.0
0.0000 3.3521 3.3521
3.3521 0.0000 3.3521
3.3521 3.3521 0.0000
V Tc I
1 1 2
Cartesian
0.0000 0.0000 0.0000 V
3.3521 3.3521 3.3521 Tc
1.6760 1.6760 1.6760 I
5.0281 5.0281 5.0281 I

In kJ/mol of atoms, relative to the most stable structure: #1 0.0; #2 2.3.

#1
TcW2I2 | the Alexandria database | PBE | optimized geometry; density of states at the Fermi level = 1.072 states/eV per atom; space group = I4/mmm
1.0
-2.2007 2.2007 5.9315
2.2007 -2.2007 5.9315
2.2007 2.2007 -5.9315
Tc W I
1 2 2
Cartesian
0.0000 0.0000 0.0000 Tc
0.0000 0.0000 4.7419 W
0.0000 0.0000 7.1211 W
2.2007 0.0000 2.9657 I
0.0000 2.2007 2.9657 I

#2
TcW2I2 | the Alexandria database | PBE | optimized geometry; density of states at the Fermi level = 1.105 states/eV per atom; space group = P4/mbm
1.0
6.7500 0.0000 0.0000
0.0000 6.7500 0.0000
0.0000 0.0000 4.5782
Tc W I
2 4 4
Cartesian
0.0000 0.0000 0.0000 Tc
3.3750 3.3750 0.0000 Tc
0.9342 2.4408 0.0000 W
2.4408 5.8158 0.0000 W
4.3092 0.9342 0.0000 W
5.8158 4.3092 0.0000 W
1.1834 4.5584 2.2891 I
2.1916 1.1834 2.2891 I
4.5584 5.5666 2.2891 I
5.5666 2.1916 2.2891 I

In kJ/mol of atoms, relative to the most stable structure: #1 36.0; #2 0.0.

#1
Tc2WI2 | the Alexandria database | PBE | optimized geometry; density of states at the Fermi level = 1.265 states/eV per atom; space group = I4/mmm
1.0
-2.1975 2.1975 5.7871
2.1975 -2.1975 5.7871
2.1975 2.1975 -5.7871
Tc W I
2 1 2
Cartesian
2.1975 0.0000 2.8935 Tc
0.0000 2.1975 2.8935 Tc
0.0000 0.0000 0.0000 W
0.0000 0.0000 4.2610 I
0.0000 0.0000 7.3132 I

#2
Tc2WI2 | the Alexandria database | PBE | optimized geometry; density of states at the Fermi level = 1.131 states/eV per atom; space group = P4/mbm
1.0
6.7741 0.0000 0.0000
0.0000 6.7741 0.0000
0.0000 0.0000 4.4006
Tc W I
4 2 4
Cartesian
0.8872 2.4999 0.0000 Tc
2.4999 5.8869 0.0000 Tc
4.2742 0.8872 0.0000 Tc
5.8869 4.2742 0.0000 Tc
0.0000 0.0000 0.0000 W
3.3870 3.3870 0.0000 W
1.2301 4.6171 2.2003 I
2.1570 1.2301 2.2003 I
4.6171 5.5440 2.2003 I
5.5440 2.1570 2.2003 I

#3
Tc2WI2 | the Alexandria database | PBE | optimized geometry; density of states at the Fermi level = 1.222 states/eV per atom; space group = I4/mmm
1.0
-2.1584 2.1584 5.8274
2.1584 -2.1584 5.8274
2.1584 2.1584 -5.8274
Tc W I
2 1 2
Cartesian
0.0000 0.0000 1.1533 Tc
0.0000 0.0000 10.5014 Tc
0.0000 0.0000 5.8274 W
2.1584 0.0000 2.9137 I
0.0000 2.1584 2.9137 I

#4
Tc2WI2 | the Alexandria database | PBE | optimized geometry; density of states at the Fermi level = 1.304 states/eV per atom; space group = P4/mbm
1.0
7.6711 0.0000 0.0000
0.0000 7.6711 0.0000
0.0000 0.0000 3.1496
Tc W I
4 2 4
Cartesian
1.1589 2.6766 0.0000 Tc
2.6766 6.5122 0.0000 Tc
4.9945 1.1589 0.0000 Tc
6.5122 4.9945 0.0000 Tc
0.0000 0.0000 1.5748 W
3.8355 3.8355 1.5748 W
1.1870 5.0226 1.5748 I
2.6485 1.1870 1.5748 I
5.0226 6.4840 1.5748 I
6.4840 2.6485 1.5748 I

In kJ/mol of atoms, relative to the most stable structure: #1 55.9; #2 0.0; #3 44.4; #4 22.6.

#1
Tc2WI | the Alexandria database | PBE | optimized geometry; density of states at the Fermi level = 0.892 states/eV per atom; space group = Fm-3m
1.0
0.0000 3.2306 3.2306
3.2306 0.0000 3.2306
3.2306 3.2306 0.0000
Tc W I
2 1 1
Cartesian
1.6153 1.6153 1.6153 Tc
4.8460 4.8460 4.8460 Tc
0.0000 0.0000 0.0000 W
3.2306 3.2306 3.2306 I

#2
Tc2WI | the Alexandria database | PBE | optimized geometry; density of states at the Fermi level = 0.589 states/eV per atom; space group = I-42d
1.0
-2.8903 2.8903 5.8786
2.8903 -2.8903 5.8786
2.8903 2.8903 -5.8786
Tc W I
4 2 2
Cartesian
4.3354 1.2916 -1.4697 Tc
1.2916 1.4451 1.4697 Tc
-1.4451 1.5987 4.4090 Tc
1.5987 1.4451 7.3483 Tc
0.0000 0.0000 0.0000 W
0.0000 2.8903 2.9393 W
2.8903 0.0000 2.9393 I
0.0000 0.0000 5.8786 I

In kJ/mol of atoms, relative to the most stable structure: #1 0.0; #2 24.7.

#1
TcW2I | the Alexandria database | PBE | optimized geometry; density of states at the Fermi level = 0.985 states/eV per atom; space group = I-42d
1.0
-1.8982 1.8982 10.2778
1.8982 -1.8982 10.2778
1.8982 1.8982 -10.2778
Tc W I
2 4 2
Cartesian
0.0000 0.0000 0.0000 Tc
0.0000 1.8982 5.1389 Tc
2.8472 0.9258 -2.5694 W
0.9258 0.9491 2.5694 W
-0.9491 0.9724 7.7083 W
0.9724 0.9491 12.8472 W
1.8982 0.0000 5.1389 I
0.0000 0.0000 10.2778 I

#2
TcW2I | the Alexandria database | PBE | optimized geometry; density of states at the Fermi level = 1.001 states/eV per atom; space group = Fm-3m
1.0
0.0000 3.2479 3.2479
3.2479 0.0000 3.2479
3.2479 3.2479 0.0000
Tc W I
1 2 1
Cartesian
0.0000 0.0000 0.0000 Tc
1.6239 1.6239 1.6239 W
4.8718 4.8718 4.8718 W
3.2479 3.2479 3.2479 I

In kJ/mol of atoms, relative to the most stable structure: #1 19.3; #2 0.0.

#1
YTc2I | the Alexandria database | PBE | optimized geometry; density of states at the Fermi level = 0.542 states/eV per atom; space group = Fm-3m
1.0
0.0000 3.3373 3.3373
3.3373 0.0000 3.3373
3.3373 3.3373 0.0000
Y Tc I
1 2 1
Cartesian
0.0000 0.0000 0.0000 Y
1.6687 1.6687 1.6687 Tc
5.0060 5.0060 5.0060 Tc
3.3373 3.3373 3.3373 I

#2
YTc2I | the Alexandria database | PBE | optimized geometry; density of states at the Fermi level = 0.683 states/eV per atom; space group = I-42d
1.0
-3.8690 3.8690 2.9562
3.8690 -3.8690 2.9562
3.8690 3.8690 -2.9562
Y Tc I
2 4 2
Cartesian
0.0000 0.0000 0.0000 Y
0.0000 3.8690 1.4781 Y
1.9345 -1.4368 2.2171 Tc
2.4322 1.9345 0.7390 Tc
1.9345 5.3059 -0.7390 Tc
1.4368 1.9345 3.6952 Tc
3.8690 0.0000 1.4781 I
0.0000 0.0000 2.9562 I

In kJ/mol of atoms, relative to the most stable structure: #1 0.0; #2 34.4.

#1
YTc3I | the Alexandria database | PBE | optimized geometry; density of states at the Fermi level = 1.366 states/eV per atom; space group = Pm-3m
1.0
5.1584 0.0000 0.0000
0.0000 5.1584 0.0000
0.0000 0.0000 5.1584
Y Tc I
1 3 1
Cartesian
0.0000 0.0000 0.0000 Y
0.0000 0.0000 2.5792 Tc
0.0000 2.5792 0.0000 Tc
2.5792 0.0000 0.0000 Tc
2.5792 2.5792 2.5792 I

#2
YTc3I | the Alexandria database | PBE | optimized geometry; density of states at the Fermi level = 1.283 states/eV per atom; space group = Pm-3m
1.0
4.8263 0.0000 0.0000
0.0000 4.8263 0.0000
0.0000 0.0000 4.8263
Y Tc I
1 3 1
Cartesian
0.0000 0.0000 0.0000 Y
0.0000 2.4132 2.4132 Tc
2.4132 0.0000 2.4132 Tc
2.4132 2.4132 0.0000 Tc
2.4132 2.4132 2.4132 I

In kJ/mol of atoms, relative to the most stable structure: #1 97.3; #2 0.0.

#1
YTcI2 | the Alexandria database | PBE | optimized geometry; density of states at the Fermi level = 0.657 states/eV per atom; space group = I-42d
1.0
-2.5622 2.5622 9.0020
2.5622 -2.5622 9.0020
2.5622 2.5622 -9.0020
Y Tc I
2 2 4
Cartesian
0.0000 0.0000 0.0000 Y
0.0000 2.5622 4.5010 Y
2.5622 0.0000 4.5010 Tc
0.0000 0.0000 9.0020 Tc
1.2811 -1.1344 6.7515 I
1.4278 1.2811 2.2505 I
1.2811 3.6966 -2.2505 I
1.1344 1.2811 11.2524 I

#2
YTcI2 | the Alexandria database | PBE | optimized geometry; density of states at the Fermi level = 1.285 states/eV per atom; space group = Fm-3m
1.0
0.0000 3.6605 3.6605
3.6605 0.0000 3.6605
3.6605 3.6605 0.0000
Y Tc I
1 1 2
Cartesian
0.0000 0.0000 0.0000 Y
3.6605 3.6605 3.6605 Tc
1.8302 1.8302 1.8302 I
5.4907 5.4907 5.4907 I

In kJ/mol of atoms, relative to the most stable structure: #1 3.1; #2 0.0.

#1
ZrTcI2 | the Alexandria database | PBE | optimized geometry; density of states at the Fermi level = 1.364 states/eV per atom; space group = Fm-3m
1.0
0.0000 3.4887 3.4887
3.4887 0.0000 3.4887
3.4887 3.4887 0.0000
Zr Tc I
1 1 2
Cartesian
0.0000 0.0000 0.0000 Zr
3.4887 3.4887 3.4887 Tc
1.7443 1.7443 1.7443 I
5.2330 5.2330 5.2330 I

#2
ZrTcI2 | the Alexandria database | PBE | optimized geometry; density of states at the Fermi level = 1.100 states/eV per atom; space group = I-42d
1.0
-3.2182 3.2182 5.8278
3.2182 -3.2182 5.8278
3.2182 3.2182 -5.8278
Zr Tc I
2 2 4
Cartesian
0.0000 0.0000 0.0000 Zr
0.0000 3.2182 2.9139 Zr
3.2182 0.0000 2.9139 Tc
0.0000 0.0000 5.8278 Tc
1.6091 -1.4061 4.3708 I
1.8122 1.6091 1.4569 I
1.6091 4.6243 -1.4569 I
1.4061 1.6091 7.2847 I

In kJ/mol of atoms, relative to the most stable structure: #1 0.0; #2 26.2.

#1
TeI | the Alexandria database | PBE | optimized geometry; space group = P1
1.0
7.3346 0.0000 0.0000
-0.9439 7.3532 0.0000
-1.9928 -2.6454 7.5833
Te I
4 4
Cartesian
0.0000 0.0000 0.0000 Te
-0.0664 3.0580 0.8131 Te
0.2102 -0.6949 7.4118 Te
4.2593 1.9670 6.1671 Te
-0.7473 2.0190 4.6280 I
0.2951 6.2624 2.4576 I
3.9856 4.4019 0.7153 I
2.8686 5.2724 5.1160 I

#2
TeI | the Alexandria database | PBE | optimized geometry; space group = P1
1.0
5.6092 0.0000 0.0000
0.2543 7.4808 0.0000
2.7871 1.7291 9.0257
Te I
4 4
Cartesian
0.0000 0.0000 0.0000 Te
1.2815 0.4859 2.4404 Te
5.0383 2.7580 7.1034 Te
3.8332 2.1547 0.1082 Te
2.7502 8.0560 5.4857 I
3.8773 5.2120 6.3461 I
2.8341 5.5692 1.0147 I
5.4839 2.9222 2.9981 I

#3
TeI | the Alexandria database | PBE | optimized geometry; space group = P1
1.0
5.8819 0.0000 0.0000
-0.7618 7.8320 0.0000
-2.7187 -2.2102 8.2153
Te I
4 4
Cartesian
0.0000 0.0000 0.0000 Te
-2.1497 2.8719 5.5155 Te
3.1669 6.2280 0.8683 Te
2.3239 5.2543 5.0648 Te
-0.7258 -0.6659 5.7948 I
-0.0240 3.6600 3.6465 I
2.0986 0.2908 2.2811 I
1.7344 1.6866 7.4305 I

In kJ/mol of atoms, relative to the most stable structure: #1 1.7; #2 0.0; #3 4.6.